[1]
First-principles (PBE-GGA) data for a relaxed structure of TlPd2Au, as listed in OQMD.

a = 4.254 Å, b = 4.254 Å, c = 3.918 Å
α = 90.00°, β = 90.00°, γ = 90.00°
Atoms (fractional coordinates):
Tl  0.000  0.000  0.000
Pd  0.000  0.500  0.500
Pd  0.500  0.000  0.500
Au  0.500  0.500  0.000

Mass density: 14.386 Mg/m³
Space-group type: P4/mmm
E above lowest polymorph: 0.0 meV per atom
Energy: -4.201 eV/atom

=====

[2]
First-principles (PBE-GGA) data for a relaxed structure of BeTe2Mo, as listed in OQMD.

a = 4.791 Å, b = 4.791 Å, c = 4.791 Å
α = 60.00°, β = 60.00°, γ = 60.00°
Atoms (fractional coordinates):
Be  0.000  0.000  0.000
Te  0.500  0.500  0.500
Te  0.750  0.750  0.750
Mo  0.250  0.250  0.250

Mass density: 7.693 Mg/m³
Space-group type: F-43m
Energy: -4.153 eV/atom

=====

[3]
First-principles (PBE-GGA) data for a relaxed structure of PrGdZr, as listed in OQMD.

a = 5.206 Å, b = 5.206 Å, c = 5.206 Å
α = 60.00°, β = 60.00°, γ = 60.00°
Atoms (fractional coordinates):
Pr  0.000  0.000  0.000
Gd  0.750  0.750  0.750
Zr  0.250  0.250  0.250

Mass density: 6.480 Mg/m³
Space-group type: F-43m
DFT formation energy: 0.963 eV per atom
Energy: -5.029 eV/atom

=====

[4]
First-principles (PBE-GGA) data for a relaxed structure of NaZnB, as listed in OQMD.

a = 4.055 Å, b = 4.055 Å, c = 4.055 Å
α = 60.00°, β = 60.00°, γ = 60.00°
Atoms (fractional coordinates):
Na  0.000  0.000  0.000
Zn  0.500  0.500  0.500
B  0.250  0.250  0.250

Mass density: 3.493 Mg/m³
Space-group type: F-43m
Energy: -2.197 eV/atom

=====

[5]
First-principles (PBE-GGA) data for a relaxed structure of Tm4GaNi2Sn4, as listed in OQMD.

a = 8.126 Å, b = 8.126 Å, c = 7.275 Å
α = 108.10°, β = 108.10°, γ = 32.39°
Atoms (fractional coordinates):
Tm  0.090  0.090  0.395
Tm  0.153  0.153  0.955
Tm  0.847  0.847  0.045
Tm  0.910  0.910  0.605
Ga  0.500  0.500  0.000
Ni  0.276  0.276  0.356
Ni  0.724  0.724  0.644
Sn  0.301  0.301  0.735
Sn  0.431  0.431  0.318
Sn  0.569  0.569  0.682
Sn  0.699  0.699  0.265

Mass density: 9.121 Mg/m³
Space-group type: C2/m
Energy: -4.954 eV/atom

=====

[6]
First-principles (PBE-GGA) data for a relaxed structure of InReNiHg, as listed in OQMD.

a = 4.599 Å, b = 4.599 Å, c = 4.599 Å
α = 60.00°, β = 60.00°, γ = 60.00°
Atoms (fractional coordinates):
In  0.000  0.000  0.000
Re  0.500  0.500  0.500
Ni  0.250  0.250  0.250
Hg  0.750  0.750  0.750

Mass density: 13.531 Mg/m³
Space-group type: F-43m
Energy: -4.446 eV/atom

=====

[7]
First-principles (PBE-GGA) data for a relaxed structure of HfMo2Ir, as listed in OQMD.

a = 4.535 Å, b = 4.535 Å, c = 4.535 Å
α = 60.00°, β = 60.00°, γ = 60.00°
Atoms (fractional coordinates):
Hf  0.000  0.000  0.000
Mo  0.250  0.250  0.250
Mo  0.500  0.500  0.500
Ir  0.750  0.750  0.750

Mass density: 14.161 Mg/m³
Space-group type: F-43m
DFT formation energy: -0.255 eV per atom
Energy: -10.381 eV/atom

=====

[8]
First-principles (PBE-GGA) data for a relaxed structure of Co2Re, as listed in OQMD.

a = 7.108 Å, b = 7.108 Å, c = 7.108 Å
α = 60.00°, β = 60.00°, γ = 60.00°
Atoms (fractional coordinates):
Co  0.000  0.000  0.000
Co  0.000  0.000  0.500
Co  0.000  0.500  0.000
Co  0.500  0.000  0.000
Re  0.125  0.125  0.125
Re  0.875  0.875  0.875

Mass density: 3.976 Mg/m³
Space-group type: Fd-3m
DFT formation energy: 3.169 eV per atom
E above lowest polymorph: 3112.8 meV per atom
Energy: -5.710 eV/atom

=====

Which formula does entry 2 have? BeTe2Mo

=====

Among the records above, which one has the lowest energy? HfMo2Ir

=====

Which value of energy does entry 6 give? -4.446 eV/atom

=====

Which value of mass density does entry 3 give? 6.480 Mg/m³